The following is a DFT calculation (PBE) of a relaxed structure of MgAgP2Cl.

The structure belongs to space group P4/mmm (No. 123); the cell edges are 4.955, 4.955 and 4.851 Å and the angles 90.00°, 90.00° and 90.00°. The distinct sites, in fractional coordinates, are Mg at (0.000, 0.000, 0.000), Ag at (0.500, 0.500, 0.500), P at (0.000, 0.500, 0.000) and Cl at (0.000, 0.000, 0.500).

The calculation puts the calculated volume at 119 Å³/f.u. The magnetic moment is 0.3619 μB/atom. The calculation puts the total DFT energy (no corrections) at -2.91 eV/atom. The raw formation energy comes out at 49.86 kJ/mol of atoms.